# 1
Entry from Alexandria via LeMat-Bulk: a relaxed CaBPd2Ru crystal (GGA-PBE).

Output
- formation energy from the elements (meV/atom) = -344
- E above lowest polymorph (eV/f.u.) = 0.00
- Fermi-level density of states (states/eV/cell) = 5.21
- VASP energy (eV/atom) = -6.01

a = 4.304 Å, b = 4.304 Å, c = 4.192 Å
α = 90.00°, β = 90.00°, γ = 90.00°
Element x y z (fractional)
Ru  0.000  0.000  0.500
Ca  0.500  0.500  0.500
B  0.000  0.000  0.000
Pd  0.000  0.500  0.000
Pd  0.500  0.000  0.000

=====

# 2
Entry from Alexandria via LeMat-Bulk: a relaxed CaBPdS2 crystal (GGA-PBE).

Output
- raw formation energy (eV/atom) = -0.301
- E above lowest polymorph (eV/f.u.) = 0.00
- Fermi-level density of states (states/eV/cell) = 1.80
- VASP energy (eV/atom) = -4.73

a = 4.573 Å, b = 4.073 Å, c = 4.573 Å
α = 90.00°, β = 90.00°, γ = 90.00°
Element x y z (fractional)
Ca  0.500  0.500  0.500
B  0.000  0.000  0.000
S  0.000  0.000  0.500
S  0.500  0.000  0.000
Pd  0.000  0.500  0.000

=====

# 3
Entry from Alexandria via LeMat-Bulk: a relaxed CaBPdS2 crystal (GGA-PBE).

Output
- raw formation energy (eV/atom) = 1.247
- E above lowest polymorph (eV/f.u.) = 7.74
- Fermi-level density of states (states/eV/cell) = 2.69
- VASP energy (eV/atom) = -3.18

a = 5.217 Å, b = 5.080 Å, c = 5.217 Å
α = 90.00°, β = 90.00°, γ = 90.00°
Element x y z (fractional)
Ca  0.000  0.000  0.000
B  0.500  0.500  0.500
S  0.000  0.000  0.500
S  0.500  0.000  0.000
Pd  0.000  0.500  0.000

=====

# 4
Entry from Alexandria via LeMat-Bulk: a relaxed Ca2SnBPd6 crystal (GGA-PBE).

Output
- formation energy from the elements (meV/atom) = -600
- Fermi-level density of states (states/eV/cell) = 3.54
- VASP energy (eV/atom) = -5.18

a = 5.812 Å, b = 7.410 Å, c = 5.819 Å
α = 66.02°, β = 60.08°, γ = 89.63°
Element x y z (fractional)
Ca  0.728  0.183  0.553
Ca  0.272  0.817  0.447
Sn  0.000  0.000  0.000
B  0.500  0.500  0.000
Pd  0.272  0.333  0.467
Pd  0.733  0.686  0.037
Pd  0.213  0.676  0.045
Pd  0.787  0.324  0.955
Pd  0.267  0.314  0.963
Pd  0.728  0.667  0.533

=====

# 5
Entry from Alexandria via LeMat-Bulk: a relaxed SrCaB2Pd crystal (GGA-PBE).

Output
- formation energy from the elements (meV/atom) = 837
- Fermi-level density of states (states/eV/cell) = 2.04
- VASP energy (eV/atom) = -3.61

a = 4.415 Å, b = 4.415 Å, c = 5.246 Å
α = 90.00°, β = 90.00°, γ = 90.00°
Element x y z (fractional)
Sr  0.000  0.000  0.500
Ca  0.500  0.500  0.500
B  0.000  0.500  0.000
B  0.500  0.000  0.000
Pd  0.000  0.000  0.000

=====

# 6
Entry from Alexandria via LeMat-Bulk: a relaxed Ca2TiBPd crystal (GGA-PBE).

Output
- formation energy from the elements (meV/atom) = 140
- Fermi-level density of states (states/eV/cell) = 4.16
- VASP energy (eV/atom) = -4.61

a = 5.144 Å, b = 4.240 Å, c = 5.144 Å
α = 90.00°, β = 90.00°, γ = 90.00°
Element x y z (fractional)
Ca  0.000  0.000  0.500
Ca  0.500  0.000  0.000
B  0.000  0.000  0.000
Pd  0.500  0.500  0.500
Ti  0.000  0.500  0.000

=====

# 7
Entry from Alexandria via LeMat-Bulk: a relaxed CaTiB2Pd crystal (GGA-PBE).

Output
- formation energy from the elements (meV/atom) = 623
- Fermi-level density of states (states/eV/cell) = 3.06
- VASP energy (eV/atom) = -5.07

a = 4.339 Å, b = 4.339 Å, c = 4.732 Å
α = 90.00°, β = 90.00°, γ = 90.00°
Element x y z (fractional)
Ca  0.500  0.500  0.500
B  0.000  0.500  0.000
B  0.500  0.000  0.000
Pd  0.000  0.000  0.500
Ti  0.000  0.000  0.000

=====

# 8
Entry from Alexandria via LeMat-Bulk: a relaxed Ca2ZnBPd6 crystal (GGA-PBE).

Output
- formation energy from the elements (meV/atom) = -566
- Fermi-level density of states (states/eV/cell) = 3.38
- VASP energy (eV/atom) = -4.88

a = 5.787 Å, b = 7.114 Å, c = 7.118 Å
α = 47.99°, β = 65.95°, γ = 89.97°
Element x y z (fractional)
Ca  0.720  0.279  0.558
Ca  0.280  0.721  0.442
Zn  0.000  0.000  0.000
B  0.500  0.500  0.000
Pd  0.265  0.218  0.468
Pd  0.781  0.734  0.952
Pd  0.265  0.734  0.951
Pd  0.735  0.266  0.049
Pd  0.219  0.266  0.048
Pd  0.735  0.782  0.532

=====

# 9
Entry from Alexandria via LeMat-Bulk: a relaxed Ca2Pm2BRh4 crystal (GGA-PBE).

Output
- formation energy from the elements (meV/atom) = -468
- Fermi-level density of states (states/eV/cell) = 5.52
- VASP energy (eV/atom) = -5.98

a = 6.212 Å, b = 6.212 Å, c = 6.212 Å
α = 97.83°, β = 115.59°, γ = 115.59°
Element x y z (fractional)
Ca  0.000  0.692  0.692
Ca  0.000  0.308  0.308
Pm  0.500  0.750  0.250
Pm  0.500  0.250  0.750
B  0.000  0.000  0.000
Rh  0.000  0.778  0.222
Rh  0.556  0.778  0.778
Rh  0.000  0.222  0.778
Rh  0.444  0.222  0.222

=====

# 10
Entry from Alexandria via LeMat-Bulk: a relaxed CaPrB12 crystal (GGA-PBE).

Output
- formation energy from the elements (meV/atom) = -451
- Fermi-level density of states (states/eV/cell) = 3.40
- VASP energy (eV/atom) = -6.66

a = 5.861 Å, b = 5.861 Å, c = 5.861 Å
α = 60.00°, β = 60.00°, γ = 60.00°
Element x y z (fractional)
Ca  0.000  0.000  0.000
Pr  0.500  0.500  0.500
B  0.900  0.900  0.600
B  0.400  0.400  0.100
B  0.600  0.900  0.600
B  0.100  0.400  0.100
B  0.900  0.600  0.600
B  0.400  0.100  0.100
B  0.900  0.600  0.900
B  0.400  0.100  0.400
B  0.600  0.900  0.900
B  0.100  0.400  0.400
B  0.600  0.600  0.900
B  0.100  0.100  0.400

=====

# 11
Entry from Alexandria via LeMat-Bulk: a relaxed CaPr2B9 crystal (GGA-PBE).

Output
- formation energy from the elements (meV/atom) = -7
- Fermi-level density of states (states/eV/cell) = 8.05
- VASP energy (eV/atom) = -5.98

a = 4.499 Å, b = 4.499 Å, c = 10.231 Å
α = 77.30°, β = 77.30°, γ = 60.00°
Element x y z (fractional)
Ca  0.000  0.000  0.000
Pr  0.884  0.884  0.347
Pr  0.116  0.116  0.653
B  0.599  0.599  0.203
B  0.401  0.401  0.797
B  0.500  0.500  0.500
B  0.392  0.392  0.185
B  0.030  0.392  0.185
B  0.392  0.030  0.185
B  0.608  0.608  0.815
B  0.608  0.970  0.815
B  0.970  0.608  0.815

=====

# 12
Entry from Alexandria via LeMat-Bulk: a relaxed CaBPt3 crystal (GGA-PBE).

Output
- formation energy from the elements (meV/atom) = -695
- Fermi-level density of states (states/eV/cell) = 1.42
- VASP energy (eV/atom) = -6.06

a = 5.551 Å, b = 6.303 Å, c = 6.303 Å
α = 100.22°, β = 115.97°, γ = 115.97°
Element x y z (fractional)
Ca  0.291  0.734  0.555
Ca  0.791  0.235  0.053
B  0.791  0.906  0.383
B  0.291  0.063  0.225
Pt  0.541  0.484  0.304
Pt  0.041  0.984  0.804
Pt  0.786  0.729  0.048
Pt  0.296  0.240  0.560
Pt  0.286  0.729  0.049
Pt  0.796  0.240  0.560

=====

# 13
Entry from Alexandria via LeMat-Bulk: a relaxed CaBPt3 crystal (GGA-PBE).

Output
- formation energy from the elements (meV/atom) = -571
- Fermi-level density of states (states/eV/cell) = 11.01
- VASP energy (eV/atom) = -5.93

a = 21.769 Å, b = 4.788 Å, c = 6.728 Å
α = 90.00°, β = 149.95°, γ = 90.00°
Element x y z (fractional)
Ca  0.152  0.991  0.812
Ca  0.848  0.009  0.188
Ca  0.348  0.491  0.688
Ca  0.652  0.509  0.312
B  0.502  0.807  0.558
B  0.498  0.193  0.442
B  0.998  0.307  0.942
B  0.002  0.693  0.058
Pt  0.328  0.969  0.968
Pt  0.672  0.031  0.032
Pt  0.172  0.469  0.532
Pt  0.828  0.531  0.468
Pt  0.392  0.463  0.339
Pt  0.608  0.537  0.661
Pt  0.108  0.963  0.161
Pt  0.892  0.037  0.839
Pt  0.443  0.965  0.675
Pt  0.557  0.035  0.325
Pt  0.057  0.465  0.825
Pt  0.943  0.535  0.175

=====

# 14
Entry from Alexandria via LeMat-Bulk: a relaxed CaB2Pt crystal (GGA-PBE).

Output
- formation energy from the elements (meV/atom) = -181
- E above lowest polymorph (eV/f.u.) = 0.00
- Fermi-level density of states (states/eV/cell) = 3.03
- VASP energy (eV/atom) = -5.53

a = 4.247 Å, b = 4.247 Å, c = 7.691 Å
α = 73.97°, β = 73.97°, γ = 90.00°
Element x y z (fractional)
Ca  0.500  0.500  0.000
Ca  0.250  0.750  0.500
B  0.875  0.125  0.250
B  0.875  0.625  0.250
B  0.375  0.125  0.750
B  0.875  0.125  0.750
Pt  0.000  0.000  0.000
Pt  0.750  0.250  0.500

=====

# 15
Entry from Alexandria via LeMat-Bulk: a relaxed CaBPt3 crystal (GGA-PBE).

Output
- formation energy from the elements (meV/atom) = 219
- Fermi-level density of states (states/eV/cell) = 5.02
- VASP energy (eV/atom) = -5.14

a = 10.216 Å, b = 10.216 Å, c = 4.782 Å
α = 90.00°, β = 90.00°, γ = 148.76°
Element x y z (fractional)
Ca  0.137  0.863  0.250
Ca  0.863  0.137  0.750
B  0.351  0.649  0.250
B  0.649  0.351  0.750
Pt  0.542  0.972  0.250
Pt  0.028  0.458  0.250
Pt  0.972  0.542  0.750
Pt  0.458  0.028  0.750
Pt  0.000  0.000  0.000
Pt  0.000  0.000  0.500

=====

# 16
Entry from Alexandria via LeMat-Bulk: a relaxed CaBPt3 crystal (GGA-PBE).

Output
- formation energy from the elements (meV/atom) = -546
- Fermi-level density of states (states/eV/cell) = 7.89
- VASP energy (eV/atom) = -5.91

a = 14.594 Å, b = 7.726 Å, c = 7.726 Å
α = 82.19°, β = 126.50°, γ = 53.50°
Element x y z (fractional)
Ca  0.344  0.225  0.567
Ca  0.156  0.067  0.725
Ca  0.656  0.775  0.433
Ca  0.844  0.933  0.275
B  0.750  0.214  0.714
B  0.250  0.786  0.286
B  0.750  0.482  0.982
B  0.250  0.518  0.018
Pt  0.475  0.355  0.447
Pt  0.025  0.947  0.855
Pt  0.525  0.645  0.553
Pt  0.975  0.053  0.145
Pt  0.110  0.210  0.142
Pt  0.390  0.642  0.710
Pt  0.890  0.790  0.858
Pt  0.610  0.358  0.290
Pt  0.798  0.679  0.010
Pt  0.702  0.510  0.179
Pt  0.202  0.321  0.990
Pt  0.298  0.490  0.821

=====

# 17
Entry from Alexandria via LeMat-Bulk: a relaxed CaBPt3 crystal (GGA-PBE).

Output
- formation energy from the elements (meV/atom) = -67
- Fermi-level density of states (states/eV/cell) = 1.17
- VASP energy (eV/atom) = -5.43

a = 3.060 Å, b = 7.555 Å, c = 7.555 Å
α = 137.74°, β = 90.00°, γ = 90.00°
Element x y z (fractional)
Ca  0.500  0.101  0.899
B  0.000  0.424  0.576
Pt  0.500  0.161  0.324
Pt  0.500  0.676  0.839
Pt  0.000  0.266  0.734

=====

# 18
Entry from Alexandria via LeMat-Bulk: a relaxed CaBPt3 crystal (GGA-PBE).

Output
- formation energy from the elements (meV/atom) = -348
- Fermi-level density of states (states/eV/cell) = 5.63
- VASP energy (eV/atom) = -5.71

a = 5.564 Å, b = 5.564 Å, c = 5.564 Å
α = 86.21°, β = 86.21°, γ = 86.21°
Element x y z (fractional)
Ca  0.000  0.000  0.000
Ca  0.500  0.500  0.500
B  0.250  0.250  0.250
B  0.750  0.750  0.750
Pt  0.991  0.509  0.250
Pt  0.509  0.250  0.991
Pt  0.250  0.991  0.509
Pt  0.750  0.009  0.491
Pt  0.491  0.750  0.009
Pt  0.009  0.491  0.750

=====

# 19
Entry from Alexandria via LeMat-Bulk: a relaxed CaBPt3 crystal (GGA-PBE).

Output
- formation energy from the elements (meV/atom) = -581
- Fermi-level density of states (states/eV/cell) = 4.32
- VASP energy (eV/atom) = -5.94

a = 18.409 Å, b = 5.570 Å, c = 7.839 Å
α = 90.00°, β = 156.05°, γ = 90.00°
Element x y z (fractional)
Ca  0.403  0.725  0.383
Ca  0.597  0.275  0.617
Ca  0.097  0.225  0.117
Ca  0.903  0.775  0.883
B  0.085  0.441  0.487
B  0.915  0.559  0.513
B  0.415  0.941  0.013
B  0.585  0.059  0.987
Pt  0.209  0.095  0.724
Pt  0.791  0.905  0.276
Pt  0.291  0.595  0.776
Pt  0.709  0.405  0.224
Pt  0.351  0.216  0.377
Pt  0.649  0.784  0.623
Pt  0.149  0.716  0.123
Pt  0.851  0.284  0.877
Pt  0.518  0.757  0.999
Pt  0.482  0.243  0.001
Pt  0.982  0.257  0.501
Pt  0.018  0.743  0.499

=====

# 20
Entry from Alexandria via LeMat-Bulk: a relaxed CaBPt3 crystal (GGA-PBE).

Output
- formation energy from the elements (meV/atom) = -501
- Fermi-level density of states (states/eV/cell) = 4.90
- VASP energy (eV/atom) = -5.86

a = 8.002 Å, b = 8.002 Å, c = 8.002 Å
α = 60.00°, β = 60.00°, γ = 60.00°
Element x y z (fractional)
Ca  0.625  0.625  0.625
Ca  0.625  0.125  0.625
Ca  0.125  0.625  0.625
Ca  0.625  0.625  0.125
B  0.125  0.125  0.125
B  0.125  0.625  0.125
B  0.625  0.125  0.125
B  0.125  0.125  0.625
Pt  0.805  0.195  0.195
Pt  0.055  0.445  0.445
Pt  0.445  0.445  0.055
Pt  0.445  0.055  0.055
Pt  0.055  0.445  0.055
Pt  0.805  0.195  0.805
Pt  0.445  0.055  0.445
Pt  0.055  0.055  0.445
Pt  0.195  0.805  0.195
Pt  0.195  0.805  0.805
Pt  0.195  0.195  0.805
Pt  0.805  0.805  0.195

=====

# 21
Entry from Alexandria via LeMat-Bulk: a relaxed CaBPt3 crystal (GGA-PBE).

Output
- formation energy from the elements (meV/atom) = -701
- Fermi-level density of states (states/eV/cell) = 2.02
- VASP energy (eV/atom) = -6.06

a = 5.592 Å, b = 5.592 Å, c = 5.838 Å
α = 89.99°, β = 89.99°, γ = 120.00°
Element x y z (fractional)
Ca  0.737  0.180  0.704
Ca  0.737  0.180  0.204
B  0.403  0.513  0.204
B  0.070  0.847  0.204
Pt  0.237  0.180  0.459
Pt  0.237  0.180  0.950
Pt  0.737  0.680  0.950
Pt  0.737  0.680  0.459
Pt  0.237  0.680  0.950
Pt  0.237  0.680  0.459

=====

# 22
Entry from Alexandria via LeMat-Bulk: a relaxed CaBPt3 crystal (GGA-PBE).

Output
- formation energy from the elements (meV/atom) = -547
- Fermi-level density of states (states/eV/cell) = 2.16
- VASP energy (eV/atom) = -5.91

a = 5.674 Å, b = 6.050 Å, c = 4.702 Å
α = 90.00°, β = 85.57°, γ = 90.00°
Element x y z (fractional)
Ca  0.545  0.250  0.506
Ca  0.455  0.750  0.494
B  0.978  0.250  0.107
B  0.022  0.750  0.893
Pt  0.749  0.506  0.984
Pt  0.251  0.494  0.016
Pt  0.749  0.994  0.984
Pt  0.251  0.006  0.016
Pt  0.044  0.250  0.537
Pt  0.956  0.750  0.463